(1)
A plane-wave DFT calculation with PBE was carried out for crystalline NbCdAsO at its relaxed geometry.

The calculated total energy comes out at -5.9558 eV/atom. The calculation puts the size of the total moment at 0.0 μB/f.u.

The structure belongs to space group Pmc2_1 (No. 26); the cell edges are 3.484, 7.123 and 5.844 Å and the angles 90.00°, 90.00° and 90.00°. Symmetry generates all atoms from Nb at (0.000, 0.005, 0.000), Cd at (0.500, 0.421, 0.316), As at (0.500, 0.201, 0.747) and O at (0.000, 0.212, 0.250).

---

(2)
A plane-wave DFT calculation with PBE was carried out for crystalline NbCdAsO at its relaxed geometry.

The calculated total energy comes out at -5.9504 eV/atom. The calculation puts the size of the total moment at 0.0 μB/f.u.

The structure belongs to space group Pmc2_1 (No. 26); the cell edges are 3.833, 8.329 and 5.169 Å and the angles 90.00°, 90.00° and 90.00°. Symmetry generates all atoms from Nb at (0.000, 0.123, 0.000), Cd at (0.500, 0.416, 0.601), As at (0.000, 0.182, 0.497) and O at (0.500, 0.169, 0.001).

---

(3)
A plane-wave DFT calculation with PBE was carried out for crystalline NbCdAsO at its relaxed geometry.

The calculated total energy comes out at -5.5044 eV/atom. The calculation puts the size of the total moment at 0.0 μB/f.u.

The structure belongs to space group P4/nmm (No. 129, origin choice 2); the cell edges are 4.233, 4.233 and 8.251 Å and the angles 90.00°, 90.00° and 90.00°. Symmetry generates all atoms from Nb at (0.250, 0.750, 0.000), Cd at (0.250, 0.250, 0.407), As at (0.250, 0.250, 0.817) and O at (0.250, 0.750, 0.500).

---

(4)
A plane-wave DFT calculation with PBE was carried out for crystalline NbCdAsO at its relaxed geometry.

The calculated total energy comes out at -5.7708 eV/atom. The calculation puts the size of the total moment at 0.2 μB/f.u.

The structure belongs to space group P4/nmm (No. 129, origin choice 2); the cell edges are 3.628, 3.628 and 10.140 Å and the angles 90.00°, 90.00° and 90.00°. Symmetry generates all atoms from Nb at (0.250, 0.250, 0.121), Cd at (0.250, 0.750, 0.500), As at (0.250, 0.250, 0.757) and O at (0.250, 0.750, 0.000).

---

(5)
A plane-wave DFT calculation with PBE was carried out for crystalline Nb2ZnCdAs4 at its relaxed geometry.

The calculated total energy comes out at -5.0617 eV/atom. The calculation puts the size of the total moment at 1.7 μB/f.u.

The structure belongs to space group I-4 (No. 82); the cell edges are 5.985, 5.985 and 11.545 Å and the angles 90.00°, 90.00° and 90.00°. Symmetry generates all atoms from Nb at (0.000, 0.000, 0.000), Nb at (0.000, 0.500, 0.250), Zn at (0.000, 0.000, 0.500), Cd at (0.000, 0.500, 0.750) and As at (0.235, 0.736, 0.383).

---

(6)
A plane-wave DFT calculation with PBE was carried out for crystalline Nd2CdAs2PdO2 at its relaxed geometry.

The calculated total energy comes out at -6.0611 eV/atom. The calculation puts the size of the total moment at 0.0 μB/f.u.

The structure belongs to space group P-4m2 (No. 115); the cell edges are 4.112, 4.112 and 8.978 Å and the angles 90.00°, 90.00° and 90.00°. Symmetry generates all atoms from Nd at (0.000, 0.500, 0.128), Cd at (0.500, 0.500, 0.500), As at (0.000, 0.500, 0.691), Pd at (0.000, 0.000, 0.500), O at (0.000, 0.000, 0.000) and O at (0.500, 0.500, 0.000).